# 1
# Rb2BaIn2, optimized geometry, DFT PBE
# Electronic total energy (Ry/atom): -0.131
# Magnetic moment (μB/f.u.): 0.00
# Formation energy from the elements (eV per atom): 0.083
data_Rb2BaIn2
_chemical_formula_sum 'Rb4 Ba2 In4'
_space_group_name_H-M_alt 'P 4/m b m'
_space_group_IT_number 127
_space_group_name_Hall '-P 4 2ab'
_cell_length_a 10.389
_cell_length_b 10.389
_cell_length_c 4.137
_cell_angle_alpha 90.00
_cell_angle_beta 90.00
_cell_angle_gamma 90.00
loop_
_atom_site_label
_atom_site_fract_x
_atom_site_fract_y
_atom_site_fract_z
Rb1 0.122 0.378 0.000
Ba1 0.000 0.000 0.000
In1 0.181 0.681 0.500


# 2
# KTlSb3, optimized geometry, DFT PBE
# Electronic total energy (Ry/atom): -0.200
# Magnetic moment (μB/f.u.): 0.00
# ΔE_f (raw) (eV/atom): 0.45
data_KTlSb3
_chemical_formula_sum 'K1 Tl1 Sb3'
_space_group_name_H-M_alt 'P m -3 m'
_space_group_IT_number 221
_space_group_name_Hall '-P 4 2 3'
_cell_length_a 5.842
_cell_length_b 5.842
_cell_length_c 5.842
_cell_angle_alpha 90.00
_cell_angle_beta 90.00
_cell_angle_gamma 90.00
loop_
_atom_site_label
_atom_site_fract_x
_atom_site_fract_y
_atom_site_fract_z
K1 0.000 0.000 0.000
Tl1 0.500 0.500 0.500
Sb1 0.000 0.500 0.500


# 3
# Rb3TiBr6, optimized geometry, DFT PBE
# Electronic total energy (Ry/atom): -0.265
# Magnetic moment (μB/f.u.): 1.00
# ΔE_f (raw) (eV/atom): -1.53
data_Rb3TiBr6
_chemical_formula_sum 'Rb6 Ti2 Br12'
_space_group_name_H-M_alt 'P 1 21/c 1'
_space_group_IT_number 14
_space_group_name_Hall '-P 2ybc'
_cell_length_a 7.973
_cell_length_b 8.370
_cell_length_c 13.875
_cell_angle_alpha 90.00
_cell_angle_beta 124.33
_cell_angle_gamma 90.00
loop_
_atom_site_label
_atom_site_fract_x
_atom_site_fract_y
_atom_site_fract_z
Rb1 0.000 0.000 0.000
Rb2 0.279 0.074 0.754
Ti1 0.500 0.000 0.500
Br1 0.182 0.030 0.286
Br2 0.285 0.668 0.052
Br3 0.398 0.236 0.057


# 4
# OsS2NO, optimized geometry, DFT PBE
# Electronic total energy (Ry/atom): -0.403
# Magnetic moment (μB/f.u.): 0.00
# ΔE_f (raw) (eV/atom): 1.08
data_OsS2NO
_chemical_formula_sum 'Os1 S2 N1 O1'
_space_group_name_H-M_alt 'P 4/m m m'
_space_group_IT_number 123
_space_group_name_Hall '-P 4 2'
_cell_length_a 4.657
_cell_length_b 4.657
_cell_length_c 3.674
_cell_angle_alpha 90.00
_cell_angle_beta 90.00
_cell_angle_gamma 90.00
loop_
_atom_site_label
_atom_site_fract_x
_atom_site_fract_y
_atom_site_fract_z
Os1 0.000 0.000 0.000
S1 0.000 0.500 0.000
N1 0.000 0.000 0.500
O1 0.500 0.500 0.500